[1]
A relaxed structure of Tb5Pm4Pr2, computed with PBE-GGA.

Properties
Total magnetic moment (μB/f.u.): 0.0
Excess energy over the best structure of this formula in the dataset (eV/atom): 0.0000
Formation enthalpy at 0 K (meV per atom): 124
Raw total energy (eV/atom): -4.5774

```
data_Tb5Pm4Pr2
_cell_length_a 11.2158
_cell_length_b 7.5084
_cell_length_c 9.3482
_cell_angle_alpha 90.00
_cell_angle_beta 107.38
_cell_angle_gamma 90.00
_symmetry_space_group_name_H-M 'C 1 2/m 1'
_symmetry_Int_Tables_number 12
_symmetry_space_group_name_Hall '-C 2y'
loop_
_atom_site_label
_atom_site_type_symbol
_atom_site_fract_x
_atom_site_fract_y
_atom_site_fract_z
_atom_site_occupancy
Tb1 Tb 0.0000 0.0000 0.0000 1
Tb2 Tb 0.0666 0.2827 0.2735 1
Pm1 Pm 0.1750 0.5000 0.6238 1
Pm2 Pm 0.1859 0.5000 0.9968 1
Pr1 Pr 0.1432 0.0000 0.6280 1
```

---

[2]
A relaxed structure of LaZrB3, computed with PBE-GGA.

Properties
Total magnetic moment (μB/f.u.): 0.0
Excess energy over the best structure of this formula in the dataset (eV/atom): 1.2737
Formation enthalpy at 0 K (meV per atom): 1851
Raw total energy (eV/atom): -4.8509

```
data_LaZrB3
_cell_length_a 4.4533
_cell_length_b 4.4533
_cell_length_c 4.4533
_cell_angle_alpha 90.00
_cell_angle_beta 90.00
_cell_angle_gamma 90.00
_symmetry_space_group_name_H-M 'P m -3 m'
_symmetry_Int_Tables_number 221
_symmetry_space_group_name_Hall '-P 4 2 3'
loop_
_atom_site_label
_atom_site_type_symbol
_atom_site_fract_x
_atom_site_fract_y
_atom_site_fract_z
_atom_site_occupancy
La1 La 0.0000 0.0000 0.0000 1
Zr1 Zr 0.5000 0.5000 0.5000 1
B1 B 0.0000 0.0000 0.5000 1
```